Entry 1:
Below is a geometry-optimized Gd3Cr5Te12 structure, with properties calculated at the PBE level.

a = 14.680 Å, b = 14.680 Å, c = 14.680 Å
α = 109.47°, β = 109.47°, γ = 109.47°
Fractional positions:
Te  0.379  0.966  0.791
Te  0.087  0.176  0.466
Te  0.709  0.121  0.034
Cr  0.750  0.625  0.375
Te  0.966  0.587  0.176
Gd  0.125  0.250  0.875
Gd  0.250  0.625  0.875
Te  0.291  0.412  0.824
Gd  0.625  0.375  0.750
Te  0.912  0.824  0.791
Te  0.412  0.291  0.324
Gd  0.625  0.250  0.375
Cr  0.625  0.875  0.250
Gd  0.250  0.125  0.375
Gd  0.750  0.375  0.125
Te  0.466  0.791  0.879
Te  0.291  0.879  0.966
Te  0.791  0.324  0.912
Te  0.209  0.676  0.088
Te  0.913  0.824  0.534
Te  0.791  0.466  0.379
Gd  0.875  0.125  0.250
Te  0.034  0.413  0.824
Te  0.176  0.087  0.966
Cr  0.250  0.875  0.125
Cr  0.125  0.375  0.250
Gd  0.750  0.875  0.625
Cr  0.000  0.000  0.500
Te  0.324  0.534  0.413
Te  0.588  0.879  0.413
Te  0.121  0.412  0.087
Te  0.709  0.588  0.176
Te  0.088  0.176  0.209
Cr  0.000  0.500  0.000
Cr  0.875  0.250  0.625
Te  0.534  0.324  0.913
Te  0.324  0.791  0.412
Te  0.034  0.621  0.709
Te  0.913  0.088  0.879
Te  0.879  0.588  0.913
Gd  0.375  0.625  0.250
Cr  0.500  0.000  0.500
Te  0.588  0.709  0.676
Te  0.379  0.413  0.088
Cr  0.625  0.750  0.875
Cr  0.125  0.750  0.375
Te  0.412  0.121  0.587
Cr  0.750  0.125  0.875
Te  0.966  0.379  0.291
Cr  0.000  0.500  0.500
Gd  0.875  0.750  0.125
Te  0.587  0.621  0.412
Te  0.621  0.034  0.209
Cr  0.500  0.500  0.000
Cr  0.500  0.000  0.000
Te  0.413  0.379  0.588
Te  0.088  0.913  0.379
Cr  0.000  0.000  0.000
Te  0.621  0.587  0.912
Te  0.087  0.912  0.121
Gd  0.375  0.750  0.625
Te  0.824  0.913  0.034
Te  0.534  0.209  0.121
Cr  0.500  0.500  0.500
Te  0.176  0.088  0.709
Te  0.824  0.912  0.291
Te  0.912  0.087  0.621
Cr  0.250  0.375  0.625
Te  0.209  0.534  0.621
Cr  0.375  0.250  0.125
Te  0.676  0.209  0.588
Gd  0.125  0.875  0.750
Te  0.879  0.291  0.466
Te  0.587  0.966  0.676
Te  0.121  0.709  0.534
Cr  0.375  0.125  0.750
Te  0.676  0.466  0.587
Cr  0.875  0.625  0.750
Te  0.413  0.034  0.324
Te  0.466  0.676  0.087

Calculated values
**Uncorrected formation energy**: -0.51 eV/atom
**DOS at the Fermi energy**: 0.775 states/eV/atom
**Space group**: No. 230
**Magnetization**: 36.64 μB/f.u.
**Energy**: -6.908 eV/atom


Entry 2:
Below is a geometry-optimized GdZn4Cr structure, with properties calculated at the PBE level.

a = 5.239 Å, b = 5.239 Å, c = 5.239 Å
α = 60.00°, β = 60.00°, γ = 60.00°
Fractional positions:
Zn  0.122  0.626  0.626
Zn  0.626  0.626  0.122
Zn  0.626  0.626  0.626
Zn  0.626  0.122  0.626
Cr  0.000  0.000  0.000
Gd  0.250  0.250  0.250

Calculated values
**DOS at the Fermi energy**: 0.570 states/eV/atom
**Space group**: No. 216
**Magnetization**: 4.08 μB/f.u.
**Energy of formation from the pure elements**: -0.79 eV per formula unit
**Energy**: -4.932 eV/atom


Entry 3:
Below is a geometry-optimized Gd2ZnCr structure, with properties calculated at the PBE level.

a = 5.086 Å, b = 5.086 Å, c = 5.086 Å
α = 60.00°, β = 60.00°, γ = 60.00°
Fractional positions:
Zn  0.500  0.500  0.500
Gd  0.250  0.250  0.250
Gd  0.750  0.750  0.750
Cr  0.000  0.000  0.000

Calculated values
**DOS at the Fermi energy**: 0.489 states/eV/atom
**Space group**: No. 225
**Magnetization**: 10.73 μB/f.u.
**Energy of formation from the pure elements**: 0.01 eV per formula unit
**E above lowest polymorph**: 0 meV/atom
**Energy**: -9.763 eV/atom


Entry 4:
Below is a geometry-optimized Gd2ZnCr structure, with properties calculated at the PBE level.

a = 3.625 Å, b = 5.077 Å, c = 5.077 Å
α = 90.00°, β = 90.00°, γ = 90.00°
Fractional positions:
Cr  0.500  0.500  0.500
Zn  0.500  0.000  0.000
Gd  0.000  0.000  0.500
Gd  0.000  0.500  0.000

Calculated values
**DOS at the Fermi energy**: 0.863 states/eV/atom
**Space group**: No. 123
**Magnetization**: 10.49 μB/f.u.
**Energy of formation from the pure elements**: 0.05 eV per formula unit
**E above lowest polymorph**: 9 meV/atom
**Energy**: -9.753 eV/atom


Entry 5:
Below is a geometry-optimized Cr3Ge structure, with properties calculated at the PBE level.

a = 4.581 Å, b = 4.581 Å, c = 4.581 Å
α = 90.00°, β = 90.00°, γ = 90.00°
Fractional positions:
Cr  0.500  0.750  0.000
Cr  0.000  0.500  0.250
Cr  0.250  0.000  0.500
Cr  0.500  0.250  0.000
Ge  0.500  0.500  0.500
Cr  0.000  0.500  0.750
Ge  0.000  0.000  0.000
Cr  0.750  0.000  0.500

Calculated values
**DOS at the Fermi energy**: 0.685 states/eV/atom
**Space group**: No. 223
**Magnetization**: 0.00 μB/f.u.
**Energy of formation from the pure elements**: -0.53 eV per formula unit
**Energy**: -8.506 eV/atom


Entry 6:
Below is a geometry-optimized CrGe structure, with properties calculated at the PBE level.

a = 6.848 Å, b = 6.848 Å, c = 6.848 Å
α = 90.00°, β = 90.00°, γ = 90.00°
Fractional positions:
Ge  0.250  0.500  0.000
Cr  0.750  0.000  0.500
Cr  0.250  0.000  0.500
Cr  0.000  0.500  0.750
Cr  0.500  0.250  0.000
Ge  0.500  0.000  0.750
Cr  0.000  0.500  0.250
Ge  0.000  0.250  0.500
Ge  0.750  0.500  0.000
Cr  0.500  0.750  0.000
Ge  0.500  0.000  0.250
Ge  0.000  0.750  0.500

Calculated values
**DOS at the Fermi energy**: 1.014 states/eV/atom
**Space group**: No. 223
**Magnetization**: 2.42 μB/f.u.
**Energy of formation from the pure elements**: 1.94 eV per formula unit
**Energy**: -6.149 eV/atom


Entry 7:
Below is a geometry-optimized CrGe structure, with properties calculated at the PBE level.

a = 4.250 Å, b = 3.948 Å, c = 11.881 Å
α = 90.00°, β = 90.00°, γ = 90.00°
Fractional positions:
Cr  0.000  0.750  0.000
Ge  0.500  0.250  0.000
Cr  0.500  0.750  0.878
Cr  0.500  0.250  0.500
Ge  0.500  0.250  0.265
Cr  0.000  0.250  0.622
Ge  0.000  0.750  0.235
Cr  0.500  0.750  0.122
Ge  0.000  0.750  0.500
Cr  0.000  0.250  0.378
Ge  0.000  0.750  0.765
Ge  0.500  0.250  0.735

Calculated values
**DOS at the Fermi energy**: 0.654 states/eV/atom
**Space group**: No. 71
**Magnetization**: 0.62 μB/f.u.
**Energy of formation from the pure elements**: 0.50 eV per formula unit
**Energy**: -6.872 eV/atom


Entry 8:
Below is a geometry-optimized CrGe structure, with properties calculated at the PBE level.

a = 7.527 Å, b = 7.527 Å, c = 4.074 Å
α = 90.00°, β = 90.00°, γ = 120.00°
Fractional positions:
Cr  0.890  0.445  0.750
Cr  0.555  0.110  0.750
Ge  0.206  0.794  0.750
Ge  0.794  0.206  0.250
Cr  0.445  0.555  0.250
Cr  0.555  0.445  0.750
Ge  0.589  0.794  0.750
Ge  0.411  0.206  0.250
Ge  0.206  0.411  0.750
Ge  0.794  0.589  0.250
Cr  0.445  0.890  0.250
Cr  0.110  0.555  0.250

Calculated values
**DOS at the Fermi energy**: 0.823 states/eV/atom
**Space group**: No. 194
**Magnetization**: 0.00 μB/f.u.
**Energy of formation from the pure elements**: 0.30 eV per formula unit
**Energy**: -6.969 eV/atom


Entry 9:
Below is a geometry-optimized CrGe structure, with properties calculated at the PBE level.

a = 4.265 Å, b = 4.265 Å, c = 4.817 Å
α = 90.00°, β = 90.00°, γ = 120.00°
Fractional positions:
Ge  0.333  0.667  0.750
Ge  0.667  0.333  0.250
Cr  0.333  0.667  0.250
Cr  0.667  0.333  0.750

Calculated values
**DOS at the Fermi energy**: 0.457 states/eV/atom
**Space group**: No. 194
**Magnetization**: 2.04 μB/f.u.
**Energy of formation from the pure elements**: 0.98 eV per formula unit
**Energy**: -6.630 eV/atom


Entry 10:
Below is a geometry-optimized CrGe structure, with properties calculated at the PBE level.

a = 4.891 Å, b = 7.975 Å, c = 6.599 Å
α = 90.00°, β = 90.00°, γ = 90.00°
Fractional positions:
Cr  0.696  0.366  0.437
Ge  0.256  0.162  0.933
Ge  0.190  0.402  0.357
Ge  0.244  0.838  0.433
Cr  0.482  0.120  0.267
Ge  0.310  0.598  0.857
Cr  0.196  0.134  0.563
Cr  0.982  0.380  0.733
Ge  0.756  0.338  0.067
Cr  0.304  0.866  0.063
Ge  0.810  0.902  0.143
Ge  0.744  0.662  0.567
Cr  0.518  0.620  0.233
Cr  0.804  0.634  0.937
Ge  0.690  0.098  0.643
Cr  0.018  0.880  0.767

Calculated values
**DOS at the Fermi energy**: 0.534 states/eV/atom
**Space group**: No. 19
**Magnetization**: 0.02 μB/f.u.
**Energy of formation from the pure elements**: 0.39 eV per formula unit
**Energy**: -6.926 eV/atom


Entry 11:
Below is a geometry-optimized CrGe structure, with properties calculated at the PBE level.

a = 7.689 Å, b = 13.340 Å, c = 4.481 Å
α = 90.00°, β = 90.00°, γ = 90.00°
Fractional positions:
Cr  0.750  0.332  0.250
Cr  0.000  0.082  0.000
Ge  0.334  0.500  0.500
Ge  0.084  0.750  0.750
Ge  0.416  0.250  0.250
Cr  0.250  0.168  0.750
Ge  0.916  0.750  0.250
Cr  0.000  0.582  0.500
Ge  0.166  0.000  0.500
Ge  0.334  0.000  0.000
Cr  0.500  0.418  0.000
Ge  0.666  0.500  0.500
Cr  0.750  0.168  0.250
Cr  0.500  0.918  0.500
Cr  0.000  0.418  0.500
Cr  0.750  0.668  0.750
Ge  0.584  0.750  0.250
Cr  0.500  0.082  0.500
Ge  0.916  0.250  0.750
Ge  0.416  0.750  0.750
Cr  0.250  0.832  0.250
Ge  0.166  0.500  0.000
Ge  0.584  0.250  0.750
Ge  0.666  0.000  0.000
Ge  0.834  0.000  0.500
Ge  0.084  0.250  0.250
Ge  0.834  0.500  0.000
Cr  0.250  0.332  0.750
Cr  0.750  0.832  0.750
Cr  0.250  0.668  0.250
Cr  0.500  0.582  0.000
Cr  0.000  0.918  0.000

Calculated values
**DOS at the Fermi energy**: 0.703 states/eV/atom
**Space group**: No. 70
**Magnetization**: 0.00 μB/f.u.
**Energy of formation from the pure elements**: 0.75 eV per formula unit
**Energy**: -6.747 eV/atom


Entry 12:
Below is a geometry-optimized CrGe structure, with properties calculated at the PBE level.

a = 8.594 Å, b = 8.594 Å, c = 4.009 Å
α = 90.00°, β = 90.00°, γ = 90.00°
Fractional positions:
Cr  0.118  0.445  0.500
Ge  0.346  0.289  0.500
Ge  0.751  0.139  0.000
Ge  0.249  0.861  0.000
Ge  0.289  0.654  0.500
Cr  0.588  0.900  0.000
Cr  0.555  0.118  0.500
Cr  0.445  0.882  0.500
Cr  0.882  0.555  0.500
Ge  0.861  0.751  0.000
Ge  0.711  0.346  0.500
Cr  0.900  0.412  0.000
Cr  0.100  0.588  0.000
Ge  0.654  0.711  0.500
Cr  0.412  0.100  0.000
Ge  0.139  0.249  0.000

Calculated values
**DOS at the Fermi energy**: 0.594 states/eV/atom
**Space group**: No. 83
**Magnetization**: 0.00 μB/f.u.
**Energy of formation from the pure elements**: 0.60 eV per formula unit
**Energy**: -6.819 eV/atom


Entry 13:
Below is a geometry-optimized CrGe structure, with properties calculated at the PBE level.

a = 7.406 Å, b = 7.406 Å, c = 7.406 Å
α = 90.00°, β = 90.00°, γ = 90.00°
Fractional positions:
Ge  0.204  0.796  0.204
Ge  0.704  0.296  0.704
Ge  0.296  0.704  0.704
Cr  0.109  0.109  0.109
Cr  0.891  0.891  0.109
Cr  0.109  0.891  0.891
Cr  0.391  0.609  0.391
Cr  0.609  0.391  0.391
Cr  0.891  0.109  0.891
Cr  0.391  0.391  0.609
Ge  0.296  0.296  0.296
Cr  0.609  0.609  0.609
Ge  0.704  0.704  0.296
Ge  0.796  0.204  0.204
Ge  0.204  0.204  0.796
Ge  0.796  0.796  0.796

Calculated values
**DOS at the Fermi energy**: 1.399 states/eV/atom
**Space group**: No. 217
**Magnetization**: 0.00 μB/f.u.
**Energy of formation from the pure elements**: 1.69 eV per formula unit
**Energy**: -6.277 eV/atom


Entry 14:
Below is a geometry-optimized CrGe structure, with properties calculated at the PBE level.

a = 5.582 Å, b = 5.582 Å, c = 5.582 Å
α = 90.00°, β = 90.00°, γ = 90.00°
Fractional positions:
Ge  0.500  0.500  0.000
Ge  0.500  0.000  0.500
Cr  0.250  0.250  0.250
Cr  0.750  0.750  0.250
Ge  0.000  0.500  0.500
Ge  0.000  0.000  0.000
Cr  0.250  0.750  0.750
Cr  0.750  0.250  0.750

Calculated values
**DOS at the Fermi energy**: 0.859 states/eV/atom
**Space group**: No. 216
**Magnetization**: 2.10 μB/f.u.
**Energy of formation from the pure elements**: 1.89 eV per formula unit
**Energy**: -6.176 eV/atom


Entry 15:
Below is a geometry-optimized CrGe3 structure, with properties calculated at the PBE level.

a = 3.126 Å, b = 5.682 Å, c = 4.877 Å
α = 125.63°, β = 108.70°, γ = 90.00°
Fractional positions:
Cr  0.000  0.095  0.000
Ge  0.500  0.424  0.000
Ge  0.315  0.639  0.629
Ge  0.685  0.009  0.371

Calculated values
**DOS at the Fermi energy**: 0.303 states/eV/atom
**Space group**: No. 44
**Magnetization**: 0.34 μB/f.u.
**Energy of formation from the pure elements**: 0.46 eV per formula unit
**Energy**: -5.753 eV/atom


Entry 16:
Below is a geometry-optimized Cr3Ge structure, with properties calculated at the PBE level.

a = 3.065 Å, b = 4.056 Å, c = 4.057 Å
α = 90.00°, β = 90.00°, γ = 90.00°
Fractional positions:
Ge  0.000  0.000  0.917
Cr  0.500  0.500  0.917
Cr  0.000  0.500  0.417
Cr  0.500  0.000  0.417

Calculated values
**DOS at the Fermi energy**: 0.778 states/eV/atom
**Space group**: No. 123
**Magnetization**: 1.98 μB/f.u.
**Energy of formation from the pure elements**: 0.15 eV per formula unit
**Energy**: -8.333 eV/atom


Entry 17:
Below is a geometry-optimized CrGe structure, with properties calculated at the PBE level.

a = 4.006 Å, b = 4.421 Å, c = 4.421 Å
α = 69.99°, β = 63.06°, γ = 63.06°
Fractional positions:
Cr  0.500  0.035  0.965
Ge  0.787  0.411  0.016
Cr  0.000  0.693  0.307
Ge  0.213  0.984  0.589

Calculated values
**DOS at the Fermi energy**: 0.865 states/eV/atom
**Space group**: No. 44
**Magnetization**: 0.68 μB/f.u.
**Energy of formation from the pure elements**: 0.48 eV per formula unit
**Energy**: -6.880 eV/atom


Entry 18:
Below is a geometry-optimized CrGe structure, with properties calculated at the PBE level.

a = 4.768 Å, b = 4.768 Å, c = 4.768 Å
α = 90.00°, β = 90.00°, γ = 90.00°
Fractional positions:
Ge  0.155  0.345  0.655
Cr  0.137  0.137  0.137
Ge  0.845  0.845  0.845
Ge  0.345  0.655  0.155
Ge  0.655  0.155  0.345
Cr  0.637  0.363  0.863
Cr  0.363  0.863  0.637
Cr  0.863  0.637  0.363

Calculated values
**DOS at the Fermi energy**: 0.907 states/eV/atom
**Space group**: No. 198
**Magnetization**: 1.00 μB/f.u.
**Energy of formation from the pure elements**: 0.00 eV per formula unit
**Energy**: -7.120 eV/atom


Entry 19:
Below is a geometry-optimized CrGe structure, with properties calculated at the PBE level.

a = 3.067 Å, b = 9.227 Å, c = 6.441 Å
α = 90.00°, β = 90.00°, γ = 90.00°
Fractional positions:
Ge  0.000  0.359  0.741
Ge  0.500  0.500  0.372
Cr  0.000  0.500  0.062
Cr  0.500  0.792  0.543
Cr  0.500  0.292  0.043
Ge  0.500  0.000  0.872
Cr  0.000  0.000  0.562
Cr  0.500  0.208  0.543
Ge  0.000  0.859  0.241
Cr  0.500  0.708  0.043
Ge  0.000  0.641  0.741
Ge  0.000  0.141  0.241

Calculated values
**DOS at the Fermi energy**: 0.713 states/eV/atom
**Space group**: No. 38
**Magnetization**: 0.52 μB/f.u.
**Energy of formation from the pure elements**: 0.49 eV per formula unit
**Energy**: -6.878 eV/atom